Entry 1:
First-principles (meta-GGA SCAN) data for a PBEsol-optimized structure of YSc2P, as listed in the Alexandria database.

```
YSc2P
1.0
3.498 0.000 0.000
0.000 3.498 0.000
0.000 0.000 6.972
P Sc Y
1 2 1
Cartesian
1.749 1.749 5.571
0.000 0.000 6.619
1.749 1.749 1.491
0.000 0.000 3.750
```

## Properties
* space group: P4mm
* formation energy: -668 meV per atom

Entry 2:
First-principles (meta-GGA SCAN) data for a PBEsol-optimized structure of YSc2P, as listed in the Alexandria database.

```
YSc2P
1.0
3.507 0.000 0.000
1.754 3.037 0.000
1.754 1.012 9.403
Sc Y P
2 1 1
Cartesian
1.754 1.012 6.188
5.261 3.037 3.216
0.000 0.000 0.000
3.507 2.025 4.702
```

## Properties
* space group: R-3m
* formation energy: -572 meV per atom

Entry 3:
First-principles (meta-GGA SCAN) data for a PBEsol-optimized structure of YSc2P, as listed in the Alexandria database.

```
YSc2P
1.0
-0.857 -2.611 -3.097
0.909 -3.209 2.453
-4.515 2.714 1.729
Sc P Y
2 1 1
Cartesian
-2.673 -1.403 -0.845
0.000 0.000 0.000
-1.790 -1.702 1.930
0.026 -2.910 -0.322
```

## Properties
* space group: I-4m2
* formation energy: -417 meV per atom

Entry 4:
First-principles (meta-GGA SCAN) data for a PBEsol-optimized structure of Sc3ZnP, as listed in the Alexandria database.

```
Sc3ZnP
1.0
-1.193 4.112 -2.267
1.179 -2.002 -4.251
-4.545 -1.599 -0.508
Sc Zn P
3 1 1
Cartesian
-2.272 -0.800 -0.254
0.590 -1.001 -2.126
-0.597 2.056 -1.133
0.000 0.000 0.000
-2.279 0.256 -3.513
```

## Properties
* space group: Pm-3m
* formation energy: 32 meV per atom

Entry 5:
First-principles (meta-GGA SCAN) data for a PBEsol-optimized structure of ScZnP2, as listed in the Alexandria database.

```
ScZnP2
1.0
3.610 0.000 0.000
0.000 3.610 0.000
0.000 0.000 5.217
Sc P Zn
1 2 1
Cartesian
0.000 0.000 2.208
0.000 0.000 4.761
1.805 1.805 1.768
1.805 1.805 4.306
```

## Properties
* space group: P4mm
* formation energy: -605 meV per atom

Entry 6:
First-principles (meta-GGA SCAN) data for a PBEsol-optimized structure of ScZnP2, as listed in the Alexandria database.

```
ScZnP2
1.0
3.588 0.000 0.000
0.000 3.800 -0.022
-1.794 -1.045 4.713
Sc P Zn
1 2 1
Cartesian
0.000 0.575 4.533
1.794 0.833 2.510
0.000 3.505 0.086
0.000 2.497 2.242
```

## Properties
* space group: Cm
* formation energy: -614 meV per atom

Entry 7:
First-principles (meta-GGA SCAN) data for a PBEsol-optimized structure of ScZnP2, as listed in the Alexandria database.

```
ScZnP2
1.0
-2.885 2.262 -0.547
-2.695 0.214 2.537
0.992 5.108 3.332
P Sc Zn
2 1 1
Cartesian
-3.410 5.735 4.021
-1.179 1.849 1.301
-2.294 3.792 2.661
0.000 0.000 0.000
```

## Properties
* space group: R-3m
* formation energy: -568 meV per atom

Entry 8:
First-principles (meta-GGA SCAN) data for a PBEsol-optimized structure of ZrSc2P, as listed in the Alexandria database.

```
ZrSc2P
1.0
3.345 0.000 0.000
1.672 2.897 0.000
1.672 0.966 9.149
Sc Zr P
2 1 1
Cartesian
5.017 2.897 3.002
1.672 0.966 6.147
0.000 0.000 0.000
3.345 1.931 4.575
```

## Properties
* space group: R-3m
* formation energy: -399 meV per atom

Entry 9:
First-principles (meta-GGA SCAN) data for a PBEsol-optimized structure of ZrSc2P, as listed in the Alexandria database.

```
ZrSc2P
1.0
-1.045 -2.089 3.432
-0.240 -3.521 -2.216
4.026 -0.756 0.765
P Sc Zr
1 2 1
Cartesian
-0.522 -1.044 1.716
-0.120 -1.761 -1.108
2.013 -0.378 0.383
1.371 -3.183 0.991
```

## Properties
* space group: P4/mmm
* formation energy: -477 meV per atom

Entry 10:
First-principles (meta-GGA SCAN) data for a PBEsol-optimized structure of Zr2ScP2, as listed in the Alexandria database.

```
Zr2ScP2
1.0
3.519 0.000 0.000
0.000 6.997 0.000
0.000 0.000 6.997
Zr Sc P
4 2 4
Cartesian
1.759 5.888 2.389
1.759 2.389 1.110
1.759 4.608 5.888
1.759 1.110 4.608
0.000 3.499 3.499
0.000 0.000 0.000
0.000 0.976 2.523
0.000 2.523 6.021
0.000 6.021 4.474
0.000 4.474 0.976
```

## Properties
* space group: P4/mbm
* formation energy: -1338 meV per atom

Entry 11:
First-principles (meta-GGA SCAN) data for a PBEsol-optimized structure of Zr2ScP, as listed in the Alexandria database.

```
Zr2ScP
1.0
-2.568 -0.973 2.120
0.732 -1.579 3.002
-0.275 6.462 5.472
Zr P Sc
2 1 1
Cartesian
-0.507 1.432 2.882
-1.604 2.478 7.711
-1.056 1.955 5.297
0.000 0.000 0.000
```

## Properties
* space group: R-3m
* formation energy: -692 meV per atom

Entry 12:
First-principles (meta-GGA SCAN) data for a PBEsol-optimized structure of P2Se, as listed in the Alexandria database.

```
P2Se
1.0
-3.339 -1.089 -0.001
1.251 -3.833 0.563
-0.777 2.379 3.210
P Se
2 1
Cartesian
-1.771 -0.236 2.327
-1.095 -2.307 1.445
0.000 0.000 0.000
```

## Properties
* space group: P6/mmm
* energy relative to the lowest polymorph listed for this composition: 0.442 eV per atom
* raw formation energy: 0.771 eV per atom

Per-record E_tot, eV/atom: -17.35; -17.25; -17.10; -13.29; -12.74; -12.75; -12.71; -17.79; -17.87; -20.62; -22.20; -12.85